Below is LiSc2Br after structural relaxation, with properties calculated at the GGA-PBE level.

Cell and atoms, written as extended XYZ:
```
4
Lattice="6.000 0.003 0.000 3.277 5.027 0.000 -4.639 -2.515 2.857" Properties=species:S:1:pos:R:3 pbc="T T T"
Br 4.639 2.515 0.000
Li 3.000 0.002 1.429
Sc 0.000 0.000 0.000
Sc 1.638 2.513 1.429
```

Computed properties:
calculated total energy	-4.1348	eV/atom
calculated volume	21.5	A^3/atom
space group	I-4m2, No. 119
total moment	0.00	μB/f.u.
ΔE to the lowest computed polymorph	351	meV/atom
ρ	3.41	Mg/m³
formation energy without anion corrections	-0.072	eV/atom

Below is Y4AsPtSe2 after structural relaxation, with properties calculated at the GGA-PBE level.

Cell and atoms, written as extended XYZ:
```
8
Lattice="-3.723 1.623 0.265 -1.898 -3.359 -6.101 -2.676 -6.404 1.612" Properties=species:S:1:pos:R:3 pbc="T T T"
Y -3.430 -7.337 -3.260
Y -4.868 -0.803 -0.964
Y -3.939 -3.285 -3.972
Y -4.359 -4.855 -0.252
As -2.287 -4.881 -2.244
Pt -2.811 -0.868 -2.918
Se -2.676 -6.404 1.612
Se -3.200 -2.390 0.939
```

Computed properties:
calculated total energy	-7.0077	eV/atom
calculated volume	24.7	A^3/atom
space group	P2/m, No. 10
total moment	0.00	μB/f.u.
ρ	6.57	Mg/m³
formation energy without anion corrections	-1.568	eV/atom

Below is NdCo4P4 after structural relaxation, with properties calculated at the GGA-PBE level.

Cell and atoms, written as extended XYZ:
```
18
Lattice="-2.620 -2.930 1.928 1.570 -5.021 -5.497 5.890 -2.599 4.056" Properties=species:S:1:pos:R:3 pbc="T T T"
Nd 0.000 0.000 0.000
Nd 2.420 -5.275 0.243
Co 4.479 -5.674 2.434
Co 6.170 -5.402 0.176
Co 0.361 -4.875 -1.948
Co 1.211 -5.128 3.792
Co 3.711 -7.493 -1.374
Co 1.009 -8.350 -1.378
Co 1.290 -2.218 -1.617
Co 1.130 -3.056 1.861
P 1.826 -6.487 -2.407
P 3.015 -4.063 2.893
P 2.533 -8.702 0.159
P 5.296 -3.811 1.406
P 2.164 -3.809 -2.847
P 0.113 -3.427 -0.084
P 4.727 -7.122 0.571
P -0.313 -4.777 2.255
```

Computed properties:
calculated total energy	-6.7357	eV/atom
calculated volume	14.1	A^3/atom
space group	I4/m, No. 87
total moment	0.00	μB/f.u.
ρ	6.60	Mg/m³
ΔH_f (0 K)	-0.64	eV per atom

Below is CeV2Os after structural relaxation, with properties calculated at the GGA-PBE level.

Cell and atoms, written as extended XYZ:
```
4
Lattice="-1.898 3.663 -0.859 -3.836 0.801 1.551 0.212 3.567 4.407" Properties=species:S:1:pos:R:3 pbc="T T T"
Os 0.000 0.000 0.000
Ce -2.761 4.016 2.549
V -1.685 1.710 0.676
V -3.837 6.322 4.422
```

Computed properties:
calculated total energy	-8.6731	eV/atom
calculated volume	19.7	A^3/atom
space group	R-3m, No. 166
total moment	1.12	μB/f.u.
ρ	9.11	Mg/m³
ΔH_f (0 K)	0.18	eV per atom

Below is Ba2CuAgH after structural relaxation, with properties calculated at the GGA-PBE level.

Cell and atoms, written as extended XYZ:
```
5
Lattice="5.728 0.000 0.000 0.000 5.728 0.000 0.000 0.000 3.976" Properties=species:S:1:pos:R:3 pbc="T T T"
H 0.000 0.000 0.000
Cu 0.000 0.000 1.988
Ba 0.000 2.864 0.000
Ba 2.864 0.000 0.000
Ag 2.864 2.864 1.988
```

Computed properties:
calculated total energy	-2.9631	eV/atom
calculated volume	26.1	A^3/atom
space group	P4/mmm, No. 123
total moment	0.00	μB/f.u.
ΔE to the lowest computed polymorph	0	meV/atom
ρ	5.69	Mg/m³

Below is Pm4MgIn after structural relaxation, with properties calculated at the GGA-PBE level.

Cell and atoms, written as extended XYZ:
```
6
Lattice="4.413 0.000 1.276 2.504 5.644 -0.390 0.157 -2.174 7.723" Properties=species:S:1:pos:R:3 pbc="T T T"
Pm 5.088 1.147 7.210
Pm 1.539 -0.589 2.945
Pm 1.986 2.324 1.400
Pm 5.535 4.060 5.665
Mg 0.000 0.000 0.000
In 3.537 1.735 4.305
```

Computed properties:
calculated total energy	-4.0442	eV/atom
calculated volume	30.1	A^3/atom
space group	C2/m, No. 12
total moment	0.00	μB/f.u.
ΔE to the lowest computed polymorph	0	meV/atom
ρ	6.61	Mg/m³
ΔH_f (0 K)	-0.15	eV per atom